No. 1
The following is a PBE-GGA calculation of BaMn2Ag after structural relaxation, from Alexandria.

Unit cell a=5.0702 b=5.0702 c=18.6994 alpha=90.00 beta=90.00 gamma=90.00
With the nearest neighbours (Å) after each atom.
Element x y z (fractional)
Ba: 0.0000 0.2500 0.3750  4 Ag 3.59, 8 Mn 3.67
Ba: 0.0000 0.7500 0.6250  4 Ag 3.59, 8 Mn 3.67
Ba: 0.5000 0.2500 0.1250  4 Ag 3.59, 8 Mn 3.67
Ba: 0.5000 0.7500 0.8750  4 Ag 3.59, 8 Mn 3.67
Mn: 0.0000 0.0000 0.0000  2 Mn 2.54, 2 Ag 2.66
Mn: 0.0000 0.5000 0.0000  2 Mn 2.54, 2 Ag 2.66
Mn: 0.2500 0.2500 0.7500  2 Mn 2.54, 2 Ag 2.66
Mn: 0.2500 0.7500 0.2500  2 Mn 2.54, 2 Ag 2.66
Mn: 0.5000 0.0000 0.5000  2 Mn 2.54, 2 Ag 2.66
Mn: 0.5000 0.5000 0.5000  2 Mn 2.54, 2 Ag 2.66
Mn: 0.7500 0.2500 0.7500  2 Mn 2.54, 2 Ag 2.66
Mn: 0.7500 0.7500 0.2500  2 Mn 2.54, 2 Ag 2.66
Ag: 0.0000 0.2500 0.8750  4 Mn 2.66
Ag: 0.0000 0.7500 0.1250  4 Mn 2.66
Ag: 0.5000 0.2500 0.6250  4 Mn 2.66
Ag: 0.5000 0.7500 0.3750  4 Mn 2.66

Values from the calculation:
- ΔH_f (0 K) (eV per atom) = 0.643
- Fermi-level density of states (states/eV/f.u.) = 4.42


No. 2
The following is a PBE-GGA calculation of BaMnAg after structural relaxation, from Alexandria.

Unit cell a=3.7438 b=3.7438 c=11.8742 alpha=90.00 beta=90.00 gamma=90.00
With the nearest neighbours (Å) after each atom.
Element x y z (fractional)
Ba: 0.0000 0.0000 0.0000  5 Mn 3.38-3.68, 5 Ag 3.47-3.62, 4 Ba 3.74
Ba: 0.5000 0.5000 0.5000  5 Mn 3.38-3.68, 5 Ag 3.47-3.62, 4 Ba 3.74
Mn: 0.0000 0.0000 0.2848  4 Ag 2.80
Mn: 0.5000 0.5000 0.7848  4 Ag 2.80
Ag: 0.0000 0.0000 0.7079  4 Mn 2.80
Ag: 0.5000 0.5000 0.2079  4 Mn 2.80

Values from the calculation:
- ΔH_f (0 K) (eV per atom) = 0.316
- Fermi-level density of states (states/eV/f.u.) = 2.19


No. 3
The following is a PBE-GGA calculation of Ba2MnAg after structural relaxation, from Alexandria.

Unit cell a=4.1126 b=4.1528 c=8.1454 alpha=90.00 beta=90.00 gamma=90.00
With the nearest neighbours (Å) after each atom.
Element x y z (fractional)
Ba: 0.0000 0.0000 0.2491  4 Mn 3.56, 4 Ag 3.57
Ba: 0.0000 0.0000 0.7509  4 Mn 3.56, 4 Ag 3.57
Mn: 0.5000 0.5000 0.0000  8 Ba 3.56
Ag: 0.5000 0.5000 0.5000  8 Ba 3.57

Values from the calculation:
- ΔH_f (0 K) (eV per atom) = 0.229
- polymorph energy (0 for the lowest one) (meV per atom) = 47
- Fermi-level density of states (states/eV/f.u.) = 3.47


No. 4
The following is a PBE-GGA calculation of Ba2MnAg after structural relaxation, from Alexandria.

Unit cell a=4.5742 b=4.5742 c=26.4095 alpha=90.00 beta=90.00 gamma=120.00
With the nearest neighbours (Å) after each atom.
Element x y z (fractional)
Ba: 0.0000 0.0000 0.2503  3 Ag 3.43, 3 Mn 3.44
Ba: 0.0000 0.0000 0.7497  3 Ag 3.43, 3 Mn 3.44
Ba: 0.3333 0.6667 0.4164  3 Ag 3.43, 3 Mn 3.44
Ba: 0.3333 0.6667 0.9170  3 Ag 3.43, 3 Mn 3.44
Ba: 0.6667 0.3333 0.0830  3 Ag 3.43, 3 Mn 3.44
Ba: 0.6667 0.3333 0.5836  3 Ag 3.43, 3 Mn 3.44
Mn: 0.0000 0.0000 0.5000  6 Ba 3.44
Mn: 0.3333 0.6667 0.1667  6 Ba 3.44
Mn: 0.6667 0.3333 0.8333  6 Ba 3.44
Ag: 0.0000 0.0000 0.0000  6 Ba 3.43
Ag: 0.3333 0.6667 0.6667  6 Ba 3.43
Ag: 0.6667 0.3333 0.3333  6 Ba 3.43

Values from the calculation:
- ΔH_f (0 K) (eV per atom) = 0.386
- polymorph energy (0 for the lowest one) (meV per atom) = 204
- Fermi-level density of states (states/eV/f.u.) = 3.38


No. 5
The following is a PBE-GGA calculation of BaMnAg after structural relaxation, from Alexandria.

Unit cell a=4.7363 b=4.7363 c=4.6792 alpha=90.00 beta=90.00 gamma=120.00
With the nearest neighbours (Å) after each atom.
Element x y z (fractional)
Ba: 0.0000 0.0000 0.0000  6 Ag 3.60, 6 Mn 3.60
Mn: 0.3333 0.6667 0.5000  3 Ag 2.73
Ag: 0.6667 0.3333 0.5000  3 Mn 2.73

Values from the calculation:
- ΔH_f (0 K) (eV per atom) = 0.253
- Fermi-level density of states (states/eV/f.u.) = 2.26


No. 6
The following is a PBE-GGA calculation of BaMn2Ag after structural relaxation, from Alexandria.

Unit cell a=5.2423 b=5.2423 c=7.4318 alpha=90.00 beta=90.00 gamma=90.00
With the nearest neighbours (Å) after each atom.
Element x y z (fractional)
Ba: 0.0000 0.0000 0.0000  4 Mn 3.21, 4 Ag 3.21
Ba: 0.5000 0.5000 0.5000  4 Mn 3.21, 4 Ag 3.21
Mn: 0.0000 0.0000 0.5000  4 Mn 3.21, 4 Ag 3.21
Mn: 0.0000 0.5000 0.7500  4 Ba 3.21, 4 Mn 3.21
Mn: 0.5000 0.0000 0.2500  4 Ba 3.21, 4 Mn 3.21
Mn: 0.5000 0.5000 0.0000  4 Mn 3.21, 4 Ag 3.21
Ag: 0.0000 0.5000 0.2500  4 Ba 3.21, 4 Mn 3.21
Ag: 0.5000 0.0000 0.7500  4 Ba 3.21, 4 Mn 3.21

Values from the calculation:
- ΔH_f (0 K) (eV per atom) = 0.705
- Fermi-level density of states (states/eV/f.u.) = 4.41